1.
A relaxed SrTcO3 crystal. Source: the Alexandria database, functional PBE.

**Crystal system**: orthorhombic
**Formation energy without anion corrections**: -1388 meV/atom
**E**: -6.772 eV per atom

Geometry as POSCAR:
```
SrTcO3
1.0
3.183 -6.507 0.000
3.183 6.507 0.000
0.000 0.000 3.824
Sr Tc O
2 2 6
Direct
0.167 0.833 0.750
0.833 0.167 0.250
0.438 0.562 0.750
0.562 0.438 0.250
0.000 0.000 0.000
0.000 0.000 0.500
0.132 0.440 0.750
0.440 0.132 0.250
0.560 0.868 0.750
0.868 0.560 0.250
```



2.
A relaxed BaZnCo2 crystal. Source: the Alexandria database, functional PBE.

**Energy of formation**: 1.42 eV/f.u.
**Crystal system**: tetragonal
**E**: -3.998 eV per atom

Geometry as POSCAR:
```
BaZnCo2
1.0
3.173 0.000 0.000
0.000 3.173 0.000
0.000 0.000 7.518
Ba Zn Co
1 1 2
Direct
0.000 0.000 0.000
0.500 0.500 0.652
0.000 0.000 0.458
0.500 0.500 0.328
```



3.
A relaxed SrTl crystal. Source: the Alexandria database, functional PBE.

**Energy of formation**: -0.86 eV/f.u.
**Crystal system**: cubic
**E**: -2.452 eV per atom

Geometry as POSCAR:
```
SrTl
1.0
4.102 0.000 0.000
0.000 4.102 0.000
0.000 0.000 4.102
Sr Tl
1 1
Direct
0.000 0.000 0.000
0.500 0.500 0.500
```



4.
A relaxed InCo2Se crystal. Source: the Alexandria database, functional PBE.

**Crystal system**: tetragonal
**Formation energy without anion corrections**: 193 meV/atom
**E**: -4.916 eV per atom
**ΔE to the lowest computed polymorph**: 98 meV/atom

Geometry as POSCAR:
```
InCo2Se
1.0
3.038 0.000 0.000
0.000 3.038 0.000
0.000 0.000 6.388
In Co Se
1 2 1
Direct
0.000 0.000 0.000
0.500 0.500 0.285
0.500 0.500 0.715
0.000 0.000 0.500
```



5.
A relaxed Sr2AlGa3Pt4 crystal. Source: the Alexandria database, functional PBE.

**Energy of formation**: -9.06 eV/f.u.
**Crystal system**: tetragonal
**E**: -4.941 eV per atom

Geometry as POSCAR:
```
Sr2AlGa3Pt4
1.0
4.436 0.000 0.000
0.000 4.436 0.000
0.000 0.000 10.292
Sr Al Ga Pt
2 1 3 4
Direct
0.000 0.500 0.244
0.500 0.000 0.756
0.000 0.000 0.500
0.000 0.500 0.876
0.500 0.000 0.124
0.500 0.500 0.500
0.000 0.000 0.000
0.000 0.500 0.627
0.500 0.000 0.373
0.500 0.500 0.000
```



6.
A relaxed Ca3NbH crystal. Source: the Alexandria database, functional PBE.

**Crystal system**: cubic
**E**: -3.572 eV per atom
**ΔE to the lowest computed polymorph**: 0 meV/atom

Geometry as POSCAR:
```
Ca3NbH
1.0
4.989 0.000 0.000
0.000 4.989 0.000
0.000 0.000 4.989
Ca Nb H
3 1 1
Direct
0.000 0.000 0.500
0.000 0.500 0.000
0.500 0.000 0.000
0.500 0.500 0.500
0.000 0.000 0.000
```



7.
A relaxed BaLi4Tl crystal. Source: the Alexandria database, functional PBE.

**Energy of formation**: -0.49 eV/f.u.
**Crystal system**: orthorhombic
**E**: -2.073 eV per atom
**ΔE to the lowest computed polymorph**: 43 meV/atom

Geometry as POSCAR:
```
BaLi4Tl
1.0
2.633 -7.788 0.000
2.633 7.788 0.000
0.000 0.000 7.677
Ba Li Tl
2 8 2
Direct
0.108 0.892 0.750
0.892 0.108 0.250
0.107 0.893 0.250
0.265 0.735 0.071
0.265 0.735 0.429
0.500 0.500 0.000
0.500 0.500 0.500
0.735 0.265 0.571
0.735 0.265 0.929
0.893 0.107 0.750
0.347 0.653 0.750
0.653 0.347 0.250
```



8.
A relaxed CsHgPt3 crystal. Source: the Alexandria database, functional PBE.

**Energy of formation**: 9.53 eV/f.u.
**Crystal system**: cubic
**E**: -1.949 eV per atom
**ΔE to the lowest computed polymorph**: 1038 meV/atom

Geometry as POSCAR:
```
CsHgPt3
1.0
5.272 0.000 0.000
0.000 5.272 0.000
0.000 0.000 5.272
Cs Hg Pt
1 1 3
Direct
0.000 0.000 0.000
0.500 0.500 0.500
0.000 0.000 0.500
0.000 0.500 0.000
0.500 0.000 0.000
```



9.
A relaxed Mg3CuPt2 crystal. Source: the Alexandria database, functional PBE.

**Energy of formation**: -3.71 eV/f.u.
**Crystal system**: orthorhombic
**E**: -4.111 eV per atom

Geometry as POSCAR:
```
Mg3CuPt2
1.0
2.129 -6.381 0.000
2.129 6.381 0.000
0.000 0.000 3.504
Mg Cu Pt
3 1 2
Direct
0.000 0.000 0.000
0.331 0.669 0.000
0.669 0.331 0.000
0.500 0.500 0.500
0.163 0.837 0.500
0.837 0.163 0.500
```



10.
A relaxed ZrSc2Br crystal. Source: the Alexandria database, functional PBE.

**Crystal system**: tetragonal
**Formation energy without anion corrections**: -377 meV/atom
**E**: -6.098 eV per atom
**ΔE to the lowest computed polymorph**: 83 meV/atom

Geometry as POSCAR:
```
ZrSc2Br
1.0
3.299 0.000 0.000
0.000 3.299 0.000
0.000 0.000 8.673
Zr Sc Br
1 2 1
Direct
0.000 0.000 0.000
0.500 0.500 0.246
0.500 0.500 0.754
0.000 0.000 0.500
```



11.
A relaxed Ba2HoUSe6 crystal. Source: the Alexandria database, functional PBE.

**Crystal system**: monoclinic
**Formation energy without anion corrections**: -1713 meV/atom
**E**: -5.775 eV per atom

Geometry as POSCAR:
```
Ba2HoUSe6
1.0
7.449 0.000 0.000
0.000 7.834 0.000
-7.442 0.000 10.789
Ba Ho U Se
4 2 2 12
Direct
0.228 0.072 0.249
0.228 0.428 0.749
0.772 0.572 0.251
0.772 0.928 0.751
0.000 0.000 0.500
0.000 0.500 0.000
0.500 0.000 0.000
0.500 0.500 0.500
0.157 0.197 0.956
0.157 0.303 0.456
0.261 0.705 0.955
0.261 0.795 0.455
0.340 0.016 0.754
0.340 0.484 0.254
0.660 0.516 0.746
0.660 0.984 0.246
0.739 0.205 0.545
0.739 0.295 0.045
0.843 0.697 0.544
0.843 0.803 0.044
```



12.
A relaxed LaCo2Ru crystal. Source: the Alexandria database, functional PBE.

**Energy of formation**: 1.07 eV/f.u.
**Crystal system**: tetragonal
**E**: -6.837 eV per atom

Geometry as POSCAR:
```
LaCo2Ru
1.0
3.080 0.000 0.000
0.000 3.080 0.000
0.000 0.000 6.995
La Co Ru
1 2 1
Direct
0.000 0.000 0.000
0.500 0.500 0.318
0.500 0.500 0.682
0.000 0.000 0.500
```



13.
A relaxed CaScTc2Ru crystal. Source: the Alexandria database, functional PBE.

**Energy of formation**: 9.48 eV/f.u.
**Crystal system**: tetragonal
**E**: -5.773 eV per atom

Geometry as POSCAR:
```
CaScTc2Ru
1.0
4.615 0.000 0.000
0.000 4.615 0.000
0.000 0.000 4.684
Ca Sc Tc Ru
1 1 2 1
Direct
0.000 0.000 0.000
0.500 0.500 0.500
0.000 0.500 0.000
0.500 0.000 0.000
0.000 0.000 0.500
```



14.
A relaxed La8Nd2Th crystal. Source: the Alexandria database, functional PBE.

**Energy of formation**: 3.22 eV/f.u.
**Crystal system**: monoclinic
**E**: -4.833 eV per atom

Geometry as POSCAR:
```
La8Nd2Th
1.0
4.513 -6.019 0.000
4.513 6.019 0.000
-4.438 0.000 7.670
La Nd Th
8 2 1
Direct
0.103 0.103 0.203
0.203 0.203 0.628
0.238 0.738 0.748
0.262 0.762 0.252
0.738 0.238 0.748
0.762 0.262 0.252
0.797 0.797 0.372
0.897 0.897 0.797
0.333 0.333 0.048
0.667 0.667 0.952
0.500 0.500 0.500
```



15.
A relaxed TaNi3Au2 crystal. Source: the Alexandria database, functional PBE.

**Energy of formation**: -0.83 eV/f.u.
**Crystal system**: orthorhombic
**E**: -6.097 eV per atom

Geometry as POSCAR:
```
TaNi3Au2
1.0
1.980 -6.043 0.000
1.980 6.043 0.000
0.000 0.000 3.588
Ta Ni Au
1 3 2
Direct
0.000 0.000 0.000
0.154 0.846 0.500
0.500 0.500 0.500
0.846 0.154 0.500
0.335 0.665 0.000
0.665 0.335 0.000
```



16.
A relaxed RbFeP crystal. Source: the Alexandria database, functional PBE.

**Energy of formation**: 0.04 eV/f.u.
**Crystal system**: monoclinic
**E**: -4.933 eV per atom

Geometry as POSCAR:
```
RbFeP
1.0
6.461 -1.812 0.000
6.461 1.812 0.000
-3.562 0.000 5.964
Rb Fe P
2 2 2
Direct
0.000 0.000 0.000
0.230 0.230 0.895
0.315 0.315 0.456
0.516 0.516 0.445
0.700 0.700 0.461
0.931 0.931 0.438
```



17.
A relaxed Nd4Tl2Pt crystal. Source: the Alexandria database, functional PBE.

**Energy of formation**: -3.07 eV/f.u.
**Crystal system**: monoclinic
**E**: -4.702 eV per atom

Geometry as POSCAR:
```
Nd4Tl2Pt
1.0
8.886 -2.003 0.000
8.886 2.003 0.000
-2.271 0.000 6.241
Nd Tl Pt
4 2 1
Direct
0.090 0.090 0.444
0.384 0.384 0.032
0.616 0.616 0.968
0.910 0.910 0.556
0.258 0.258 0.306
0.742 0.742 0.694
0.000 0.000 0.000
```



18.
A relaxed Tb5ErTh2 crystal. Source: the Alexandria database, functional PBE.

**Energy of formation**: 0.80 eV/f.u.
**Crystal system**: orthorhombic
**E**: -5.220 eV per atom
**ΔE to the lowest computed polymorph**: 63 meV/atom

Geometry as POSCAR:
```
Tb5ErTh2
1.0
-1.758 5.595 6.594
1.758 -5.595 6.594
1.758 5.595 -6.594
Tb Er Th
5 1 2
Direct
0.000 0.000 0.000
0.105 0.370 0.735
0.366 0.630 0.735
0.634 0.370 0.265
0.895 0.630 0.265
0.500 0.000 0.500
0.259 0.259 0.000
0.741 0.741 0.000
```



19.
A relaxed Tb3Y2In crystal. Source: the Alexandria database, functional PBE.

**Energy of formation**: 1.20 eV/f.u.
**Crystal system**: orthorhombic
**E**: -4.727 eV per atom
**ΔE to the lowest computed polymorph**: 362 meV/atom

Geometry as POSCAR:
```
Tb3Y2In
1.0
-2.881 3.209 5.096
2.881 -3.209 5.096
2.881 3.209 -5.096
Tb Y In
3 2 1
Direct
0.000 0.000 0.000
0.348 0.348 0.000
0.652 0.652 0.000
0.186 0.686 0.500
0.814 0.314 0.500
0.500 0.000 0.500
```



20.
A relaxed LuZn2Co crystal. Source: the Alexandria database, functional PBE.

**Energy of formation**: -0.36 eV/f.u.
**Crystal system**: cubic
**E**: -3.635 eV per atom

Geometry as POSCAR:
```
LuZn2Co
1.0
0.000 3.171 3.171
3.171 0.000 3.171
3.171 3.171 0.000
Lu Zn Co
1 2 1
Direct
0.000 0.000 0.000
0.250 0.250 0.250
0.750 0.750 0.750
0.500 0.500 0.500
```